Below is an optimized crystal structure of AcU2TeN4, with properties calculated at the PBE-GGA level.

Unit cell a=3.9428 b=3.9428 c=9.4002 alpha=90.00 beta=90.00 gamma=90.00
Fractional coordinates of all 8 atoms:
Ac  0.0000  0.0000  0.0000
U  0.5000  0.5000  0.2780
U  0.5000  0.5000  0.7220
Te  0.0000  0.0000  0.5000
N  0.0000  0.5000  0.1891
N  0.5000  0.0000  0.8109
N  0.5000  0.0000  0.1891
N  0.0000  0.5000  0.8109

Computed properties:
- D(E_F) (states/eV/f.u.) = 3.3
- uncorrected formation energy (eV/atom) = -1.233
- crystal system = tetragonal